DFT (meta-GGA SCAN) results for MnZnTc2 at its PBEsol-relaxed geometry. Values from VASP.

Values from the calculation:
formation energy from the elements = -0.03 eV/atom
crystal system = orthorhombic
space group = Pmm2
magnetization = 2.92 μB/f.u.
DOS(E_F) = 2.51 states/eV/cell

```
&SYSTEM
  ibrav = 0, nat = 4, ntyp = 3
/
ATOMIC_SPECIES
Mn 54.94 Mn.upf
Zn 65.41 Zn.upf
Tc 98.00 Tc.upf
CELL_PARAMETERS angstrom
2.687 0.000 0.000
0.000 3.782 0.000
0.000 0.000 5.226
ATOMIC_POSITIONS crystal
Mn 0.000 0.000 0.000
Zn 0.500 0.500 0.766
Tc 0.000 0.000 0.497
Tc 0.500 0.500 0.262
```